(1)
The following is a DFT calculation (PBE) of an optimized crystal structure of LiPdAu2.

Unit cell a=4.520 b=4.520 c=4.520 alpha=60.00 beta=60.00 gamma=60.00
Sites, in units of the cell vectors:
Au: 0.250 0.250 0.250
Au: 0.750 0.750 0.750
Pd: 0.500 0.500 0.500
Li: 0.000 0.000 0.000

Energy relative to the lowest polymorph listed for this composition: 0.060 eV per atom
Symmetry: No. 225

=====

(2)
The following is a DFT calculation (PBE) of an optimized crystal structure of Pr5HoEr2Tm.

Unit cell a=5.639 b=10.665 c=10.716 alpha=90.00 beta=90.00 gamma=105.33
Sites, in units of the cell vectors:
Pr: 0.380 0.761 0.019
Pr: 0.721 0.443 0.815
Pr: 0.486 0.972 0.745
Pr: 0.297 0.593 0.708
Pr: 0.985 0.970 0.514
Pr: 0.620 0.239 0.519
Pr: 0.279 0.557 0.315
Pr: 0.514 0.028 0.245
Pr: 0.703 0.407 0.208
Pr: 0.015 0.030 0.014
Ho: 0.594 0.188 0.967
Ho: 0.406 0.812 0.467
Er: 0.887 0.773 0.802
Er: 0.113 0.227 0.741
Er: 0.113 0.227 0.302
Er: 0.887 0.773 0.241
Tm: 0.802 0.605 0.512
Tm: 0.198 0.395 0.012

Final energy: -4.533 eV per atom
Symmetry: No. 36

=====

(3)
The following is a DFT calculation (PBE) of an optimized crystal structure of CsLiCdSe2.

Unit cell a=4.490 b=7.353 c=10.220 alpha=98.32 beta=90.00 gamma=107.78
Sites, in units of the cell vectors:
Cs: 0.345 0.691 0.338
Cs: 0.655 0.309 0.662
Li: 0.678 0.355 0.058
Li: 0.322 0.645 0.942
Cd: 0.054 0.109 0.170
Cd: 0.946 0.891 0.830
Se: 0.378 0.755 0.702
Se: 0.622 0.245 0.298
Se: 0.133 0.267 0.936
Se: 0.867 0.733 0.064

Final energy: -3.165 eV per atom
Symmetry: No. 12

=====

(4)
The following is a DFT calculation (PBE) of an optimized crystal structure of CdSeCl2.

Unit cell a=6.835 b=6.835 c=6.835 alpha=146.99 beta=146.99 gamma=47.37
Sites, in units of the cell vectors:
Cl: 0.000 0.000 0.000
Cl: 0.250 0.750 0.500
Se: 0.500 0.500 0.000
Cd: 0.750 0.250 0.500

Energy relative to the lowest polymorph listed for this composition: 0.432 eV per atom
Symmetry: No. 119

=====

(5)
The following is a DFT calculation (PBE) of an optimized crystal structure of LiInAg2.

Unit cell a=4.688 b=4.688 c=4.688 alpha=60.00 beta=60.00 gamma=60.00
Sites, in units of the cell vectors:
Li: 0.250 0.250 0.250
Ag: 0.000 0.000 0.000
Ag: 0.750 0.750 0.750
In: 0.500 0.500 0.500

Final energy: -2.761 eV per atom
Symmetry: No. 216

=====

(6)
The following is a DFT calculation (PBE) of an optimized crystal structure of Cd5HgPd3.

Unit cell a=5.801 b=8.245 c=8.245 alpha=120.00 beta=90.00 gamma=90.00
Sites, in units of the cell vectors:
Cd: 0.000 0.667 0.333
Cd: 0.500 0.333 0.667
Cd: 0.000 0.333 0.667
Cd: 0.500 0.667 0.333
Cd: 0.750 0.672 0.672
Cd: 0.750 0.000 0.328
Cd: 0.750 0.328 0.000
Cd: 0.250 0.328 0.328
Cd: 0.250 0.000 0.672
Cd: 0.250 0.672 0.000
Hg: 0.000 0.000 0.000
Hg: 0.500 0.000 0.000
Pd: 0.750 0.342 0.342
Pd: 0.750 0.000 0.658
Pd: 0.750 0.658 0.000
Pd: 0.250 0.658 0.658
Pd: 0.250 0.000 0.342
Pd: 0.250 0.342 0.000

Final energy: -2.491 eV per atom
Symmetry: No. 193

=====

Short version: theoretical density = 12.90; 7.34; 4.29; 4.61; 7.69; 10.52 g cm⁻³, in the order given.